## CrOs2W (PBEsol)

Data for crystalline CrOs2W at its relaxed geometry.

Properties
total energy = -47.60 eV for the cell shown
excess energy over the best structure of this formula in the dataset = 60 meV per atom
formation enthalpy at 0 K = 21.21 kJ per mole of atoms

Cell lengths 2.682, 4.133, 5.179 Å; angles 90.00, 103.54, 90.00 degrees
Fractional positions:
Os  0.879  0.000  0.734
Cr  0.500  0.500  0.500
W  0.500  0.500  0.000
Os  0.121  0.000  0.266